# 1
Sm4InOs | PBE-GGA | relaxed

Geometry as POSCAR:
```
Sm4InOs
1.0
8.5223 0.0000 4.9204
2.8408 8.0349 4.9204
0.0000 0.0000 9.8408
Sm Os In
16 4 4
Direct
0.8078 0.1922 0.1922
0.9431 0.5569 0.5569
0.1922 0.8078 0.1922
0.9431 0.9431 0.5569
0.5569 0.9431 0.5569
0.1922 0.1922 0.8078
0.1922 0.8078 0.8078
0.5569 0.9431 0.9431
0.4033 0.4033 0.4033
0.9431 0.5569 0.9431
0.8078 0.8078 0.1922
0.4033 0.7900 0.4033
0.7900 0.4033 0.4033
0.4033 0.4033 0.7900
0.5569 0.5569 0.9431
0.8078 0.1922 0.8078
0.6122 0.6122 0.1635
0.6122 0.1635 0.6122
0.1635 0.6122 0.6122
0.6122 0.6122 0.6122
0.1686 0.4942 0.1686
0.1686 0.1686 0.1686
0.1686 0.1686 0.4942
0.4942 0.1686 0.1686
```

Calculated values
size of the total moment	0.0	μB/cell
Fermi-level density of states	20.21	states/eV/cell
energy above the lowest structure with this stoichiometry	0.0	meV/atom
DFT formation energy	-0.292	eV per atom

# 2
BaSr2NiBr | PBE-GGA | relaxed

Geometry as POSCAR:
```
BaSr2NiBr
1.0
-1.4323 -5.7739 -4.1677
-0.9330 -2.6715 4.0217
-6.9863 1.9621 -0.3173
Sr Ni Br Ba
2 1 1 1
Direct
0.0000 0.0000 0.5000
0.5000 0.0000 0.0000
0.0000 0.5000 0.0000
0.5000 0.5000 0.5000
0.0000 0.0000 0.0000
```

Calculated values
size of the total moment	1.1	μB/cell
Fermi-level density of states	5.54	states/eV/cell
formation energy (no corrections)	0.530	eV/atom

# 3
LaSc2MnH | PBE-GGA | relaxed

Geometry as POSCAR:
```
LaSc2MnH
1.0
5.3836 0.0000 0.0000
0.0000 3.7045 0.0000
0.0000 0.0000 5.3836
Sc La Mn H
2 1 1 1
Direct
0.0000 0.0000 0.5000
0.5000 0.0000 0.0000
0.0000 0.0000 0.0000
0.5000 0.5000 0.5000
0.0000 0.5000 0.0000
```

Calculated values
energy	-4.72	eV per atom
size of the total moment	0.0	μB/cell
Fermi-level density of states	10.39	states/eV/cell

# 4
Ti4Sn | PBE-GGA | relaxed

Geometry as POSCAR:
```
Ti4Sn
1.0
4.9837 0.0000 0.0000
0.0000 4.9837 0.0000
0.0000 0.0000 4.9837
Sn Ti
1 4
Direct
0.5000 0.5000 0.5000
0.5000 0.0000 0.5000
0.5000 0.5000 0.0000
0.0000 0.5000 0.5000
0.0000 0.0000 0.0000
```

Calculated values
size of the total moment	2.1	μB/cell
Fermi-level density of states	8.96	states/eV/cell
energy above the lowest structure with this stoichiometry	1319.6	meV/atom
DFT formation energy	1.124	eV per atom